# GGA-PBEsol BaTl2Os, relaxed
# - Density of states at the Fermi level: 4.91 states/eV/f.u.
# - Spin magnetization: 1.06 μB/cell
# - Formation enthalpy at 0 K: 0.788 eV per atom
# - Raw total energy: -16.47 eV for the cell shown
data_BaTl2Os
_chemical_formula_sum 'Ba1 Tl2 Os1'
_cell_length_a 4.514
_cell_length_b 4.514
_cell_length_c 5.049
_cell_angle_alpha 90.00
_cell_angle_beta 90.00
_cell_angle_gamma 90.00
_space_group_name_H-M_alt 'P 4/m m m'
_space_group_IT_number 123
_space_group_name_Hall '-P 4 2'
loop_
_atom_site_label
_atom_site_fract_x
_atom_site_fract_y
_atom_site_fract_z
Ba1 0.000 0.000 0.000
Tl1 0.000 0.500 0.500
Os1 0.500 0.500 0.000